Crystalline Er2Mo2C3 at its relaxed geometry. Source: OQMD via LeMat-Bulk, functional PBE.

Computed properties:
SG: C2/m
Total energy: -8.701 eV/atom

Unit cell a=3.3648 b=5.6601 c=5.8889 alpha=107.75 beta=106.60 gamma=90.00
With the nearest neighbours (Å) after each atom.
Element x y z (fractional)
C 0.0000 0.5000 0.0000  2 Mo 2.03
C 0.7295 0.2549 0.4590  3 Mo 2.11-2.13
C 0.2705 0.7451 0.5410  3 Mo 2.11-2.13
Er 0.6148 0.8187 0.2297  5 C 2.40-2.56
Er 0.3852 0.1813 0.7703  5 C 2.40-2.56
Mo 0.1488 0.3707 0.2977  4 C 2.03-2.13
Mo 0.8512 0.6293 0.7023  4 C 2.03-2.13


Crystalline Li4Sb2IrAu at its relaxed geometry. Source: OQMD via LeMat-Bulk, functional PBE.

Computed properties:
SG: P-4m2
Total energy: -3.998 eV/atom

Unit cell a=4.5093 b=4.5093 c=6.4262 alpha=90.00 beta=90.00 gamma=90.00
With the nearest neighbours (Å) after each atom.
Element x y z (fractional)
Au 0.0000 0.0000 0.0000  4 Li 2.78, 4 Sb 2.85
Ir 0.5000 0.5000 0.5000  4 Sb 2.69, 4 Li 2.75
Li 0.5000 0.5000 0.0000  4 Li 2.78, 4 Sb 2.85
Li 0.5000 0.0000 0.2544  4 Li 2.75-2.78, 2 Ir 2.75, 2 Au 2.78, 1 Sb 3.04
Li 0.0000 0.0000 0.5000  4 Sb 2.69, 4 Li 2.75
Li 0.0000 0.5000 0.7456  4 Li 2.75-2.78, 2 Ir 2.75, 2 Au 2.78, 1 Sb 3.04
Sb 0.0000 0.5000 0.2722  4 Li 2.69-2.85, 2 Ir 2.69, 2 Au 2.85
Sb 0.5000 0.0000 0.7278  4 Li 2.69-2.85, 2 Ir 2.69, 2 Au 2.85


Crystalline TaReNO at its relaxed geometry. Source: OQMD via LeMat-Bulk, functional PBE.

Computed properties:
SG: Pmc2_1
Total energy: -10.042 eV/atom
Distance to the lowest polymorph of the same formula: 292 meV/atom

Unit cell a=2.9618 b=4.9013 c=6.5023 alpha=90.00 beta=90.00 gamma=90.00
With the nearest neighbours (Å) after each atom.
Element x y z (fractional)
N 0.0000 0.6717 0.1548  2 Ta 2.00-2.12, 2 Re 2.03
N 0.0000 0.3283 0.6548  2 Ta 2.00-2.12, 2 Re 2.03
O 0.5000 0.1757 0.1603  2 Re 2.01-2.17, 2 Ta 2.09
O 0.5000 0.8243 0.6603  2 Re 2.01-2.17, 2 Ta 2.09
Re 0.5000 0.1870 0.4689  2 O 2.01-2.17, 2 N 2.03
Re 0.5000 0.8130 0.9689  2 O 2.01-2.17, 2 N 2.03
Ta 0.0000 0.6777 0.4621  2 N 2.00-2.12, 2 O 2.09
Ta 0.0000 0.3223 0.9621  2 N 2.00-2.12, 2 O 2.09


Crystalline SmInSnTe3 at its relaxed geometry. Source: OQMD via LeMat-Bulk, functional PBE.

Computed properties:
SG: Cmcm
Total energy: -4.050 eV/atom
Distance to the lowest polymorph of the same formula: 0 meV/atom

Unit cell a=7.8406 b=7.8406 c=11.6418 alpha=90.00 beta=90.00 gamma=145.18
With the nearest neighbours (Å) after each atom.
Element x y z (fractional)
In 0.7552 0.2448 0.2500  2 Te 3.29
In 0.2448 0.7552 0.7500  2 Te 3.29
Sm 0.0000 0.0000 0.0000  6 Te 3.21-3.28
Sm 0.0000 0.0000 0.5000  6 Te 3.21-3.28
Sn 0.4688 0.5312 0.2500  4 Te 3.00-3.07
Sn 0.5312 0.4688 0.7500  4 Te 3.00-3.07
Te 0.3564 0.6436 0.0366  1 Sn 3.00, 2 Sm 3.21
Te 0.1009 0.8991 0.2500  2 Sn 3.07, 2 Sm 3.28, 2 In 3.29
Te 0.3564 0.6436 0.4634  1 Sn 3.00, 2 Sm 3.21
Te 0.6436 0.3564 0.5366  1 Sn 3.00, 2 Sm 3.21
Te 0.8991 0.1009 0.7500  2 Sn 3.07, 2 Sm 3.28, 2 In 3.29
Te 0.6436 0.3564 0.9634  1 Sn 3.00, 2 Sm 3.21


Crystalline MgCu5B2 at its relaxed geometry. Source: OQMD via LeMat-Bulk, functional PBE.

Computed properties:
SG: P4/mmm
Total energy: -3.753 eV/atom

Unit cell a=3.9609 b=3.9609 c=5.5965 alpha=90.00 beta=90.00 gamma=90.00
With the nearest neighbours (Å) after each atom.
Element x y z (fractional)
B 0.0000 0.0000 0.0000  8 Cu 2.39
B 0.5000 0.5000 0.5000  8 Cu 2.46
Cu 0.5000 0.5000 0.0000  8 Cu 2.39
Cu 0.5000 0.0000 0.2384  4 B 2.39-2.46, 3 Cu 2.39-2.67, 2 Mg 2.46
Cu 0.0000 0.5000 0.2384  4 B 2.39-2.46, 3 Cu 2.39-2.67, 2 Mg 2.46
Cu 0.5000 0.0000 0.7616  4 B 2.39-2.46, 3 Cu 2.39-2.67, 2 Mg 2.46
Cu 0.0000 0.5000 0.7616  4 B 2.39-2.46, 3 Cu 2.39-2.67, 2 Mg 2.46
Mg 0.0000 0.0000 0.5000  8 Cu 2.46


Crystalline RbScPa at its relaxed geometry. Source: OQMD via LeMat-Bulk, functional PBE.

Computed properties:
SG: F-43m
Total energy: -3.780 eV/atom
Distance to the lowest polymorph of the same formula: 0 meV/atom

Unit cell a=5.6335 b=5.6335 c=5.6335 alpha=60.00 beta=60.00 gamma=60.00
With the nearest neighbours (Å) after each atom.
Element x y z (fractional)
Pa 0.2500 0.2500 0.2500  4 Sc 3.45
Rb 0.7500 0.7500 0.7500  4 Sc 3.45
Sc 0.0000 0.0000 0.0000  4 Pa 3.45, 4 Rb 3.45


Crystalline Zr2W at its relaxed geometry. Source: OQMD via LeMat-Bulk, functional PBE.

Computed properties:
SG: Cmcm
Total energy: -9.734 eV/atom
Energy of formation: 284 meV per atom
Distance to the lowest polymorph of the same formula: 142 meV/atom

Unit cell a=5.6432 b=8.4492 c=5.0744 alpha=90.00 beta=90.00 gamma=90.00
With the nearest neighbours (Å) after each atom.
Element x y z (fractional)
W 0.0452 0.0000 0.0000  4 Zr 2.83-3.08, 2 W 2.88
W 0.5452 0.5000 0.0000  4 Zr 2.83-3.08, 2 W 2.88
W 0.2881 0.0000 0.5000  4 Zr 2.83-3.08, 2 W 2.88
W 0.7881 0.5000 0.5000  4 Zr 2.83-3.08, 2 W 2.88
Zr 0.5313 0.1646 0.0000  3 Zr 2.78-2.96, 2 W 2.83-3.08
Zr 0.0313 0.3354 0.0000  3 Zr 2.78-2.96, 2 W 2.83-3.08
Zr 0.0313 0.6646 0.0000  3 Zr 2.78-2.96, 2 W 2.83-3.08
Zr 0.5313 0.8354 0.0000  3 Zr 2.78-2.96, 2 W 2.83-3.08
Zr 0.8020 0.1646 0.5000  3 Zr 2.78-2.96, 2 W 2.83-3.08
Zr 0.3021 0.3354 0.5000  3 Zr 2.78-2.96, 2 W 2.83-3.08
Zr 0.3021 0.6646 0.5000  3 Zr 2.78-2.96, 2 W 2.83-3.08
Zr 0.8020 0.8354 0.5000  3 Zr 2.78-2.96, 2 W 2.83-3.08


Crystalline GdHoC2 at its relaxed geometry. Source: OQMD via LeMat-Bulk, functional PBE.

Computed properties:
SG: Amm2
Total energy: -6.935 eV/atom

Unit cell a=3.9206 b=4.3752 c=4.3752 alpha=79.44 beta=90.00 gamma=90.00
With the nearest neighbours (Å) after each atom.
Element x y z (fractional)
C 0.5000 0.8533 0.6046  1 C 1.39
C 0.5000 0.6046 0.8533  1 C 1.39
Gd 0.0000 0.9453 0.9453  4 C 2.54
Ho 0.5000 0.3817 0.3817  4 C 2.34-2.44